Record 1
DFT (PBE) results for an optimized crystal structure of Rb2UMn2S4.

a = 7.597 Å, b = 7.597 Å, c = 7.929 Å
α = 107.57°, β = 107.57°, γ = 30.42°
Sites, in units of the cell vectors:
Rb 0.135 0.135 0.054
Rb 0.865 0.865 0.946
U 0.000 0.000 0.500
Mn 0.327 0.327 0.523
Mn 0.673 0.673 0.477
S 0.197 0.197 0.659
S 0.482 0.482 0.729
S 0.518 0.518 0.271
S 0.803 0.803 0.341

Properties
As for the uncorrected formation energy: -1.010 eV per atom. For the volume, the calculation gives 24.5 Å³/atom.



Record 2
DFT (PBE) results for an optimized crystal structure of Hg2MoCl.

a = 2.866 Å, b = 4.335 Å, c = 14.569 Å
α = 90.00°, β = 90.00°, γ = 90.00°
Sites, in units of the cell vectors:
Hg 0.000 0.000 0.182
Hg 0.000 0.000 0.818
Hg 0.500 0.500 0.318
Hg 0.500 0.500 0.682
Mo 0.000 0.500 0.500
Mo 0.500 0.000 0.000
Cl 0.000 0.500 0.000
Cl 0.500 0.000 0.500

Properties
As for the uncorrected formation energy: 0.402 eV per atom. For the volume, the calculation gives 22.6 Å³/atom.



Record 3
DFT (PBE) results for an optimized crystal structure of Ba2DySnTe5.

a = 10.361 Å, b = 10.361 Å, c = 14.217 Å
α = 90.00°, β = 90.00°, γ = 153.59°
Sites, in units of the cell vectors:
Ba 0.116 0.884 0.500
Ba 0.134 0.866 0.132
Ba 0.866 0.134 0.632
Ba 0.884 0.116 0.000
Dy 0.210 0.790 0.838
Dy 0.790 0.210 0.338
Sn 0.452 0.548 0.264
Sn 0.548 0.452 0.764
Te 0.052 0.948 0.885
Te 0.288 0.712 0.479
Te 0.315 0.685 0.189
Te 0.359 0.641 0.818
Te 0.493 0.507 0.577
Te 0.507 0.493 0.077
Te 0.641 0.359 0.318
Te 0.685 0.315 0.689
Te 0.712 0.288 0.979
Te 0.948 0.052 0.385

Properties
As for the uncorrected formation energy: -1.228 eV per atom. For the volume, the calculation gives 37.7 Å³/atom.